Density functional theory data (PBE) for a relaxed SrHgAu3 crystal.

Output
ΔH_f (0 K), eV/f.u.: 2.47
M_tot, μB per cell: 0.00
Calculated volume, Å³/f.u.: 202.9
DFT total energy, eV per formula unit: -9.3
Offset from the most stable computed form, meV per atom: 930

Cell: 5.876 5.876 5.876 Å, 90.00 90.00 90.00°
Space group Pm-3m (No. 221)
Unique sites:
Sr1 0.000 0.000 0.000 x1
Hg1 0.500 0.500 0.500 x1
Au1 0.000 0.000 0.500 x3

Density functional theory data (PBE) for a relaxed Ac5Si2Sn crystal.

Output
M_tot, μB per cell: 0.00
Calculated volume, Å³/f.u.: 275.2
DFT total energy, eV per formula unit: -39.6
Energy relative to the elements, uncorrected, kJ/mol of atoms: -50.4

Cell: 8.599 8.599 14.886 Å, 90.00 90.00 90.00°
Space group I4/mcm (No. 140)
Unique sites:
Ac1 0.000 0.000 0.000 x4
Ac2 0.161 0.339 0.139 x16
Si1 0.140 0.360 0.500 x8
Sn1 0.000 0.000 0.250 x4

Density functional theory data (PBE) for a relaxed Ta2IrPb crystal.

Output
ΔH_f (0 K), eV/f.u.: 0.52
M_tot, μB per cell: 0.00
Calculated volume, Å³/f.u.: 77.6
DFT total energy, eV per formula unit: -35.8

Cell: 4.083 3.031 12.543 Å, 90.00 90.00 90.00°
Space group Amm2 (No. 38)
Unique sites:
Ta1 0.000 0.000 0.000 x2
Ta2 0.500 0.000 0.374 x2
Ir1 0.500 0.000 0.585 x2
Pb1 0.000 0.000 0.745 x2

Density functional theory data (PBE) for a relaxed TbNd8Sb6 crystal.

Output
M_tot, μB per cell: 0.00
Calculated volume, Å³/f.u.: 502.7
DFT total energy, eV per formula unit: -79.8
Energy relative to the elements, uncorrected, kJ/mol of atoms: -78.8

Cell: 8.2015 8.2015 25.8867 Å, 90.00 90.00 120.00°
Space group R-3 (No. 148, hexagonal axes)
Unique sites:
Tb1 0.0000 0.0000 0.0000 x3
Nd1 0.0000 0.0000 0.3333 x6
Nd2 0.0012 0.6630 0.8787 x18
Sb1 0.0008 0.6726 0.0663 x18

Density functional theory data (PBE) for a relaxed AlRe2Te crystal.

Output
M_tot, μB per cell: 0.00
Calculated volume, Å³/f.u.: 64.2
DFT total energy, eV per formula unit: -30.2
Energy relative to the elements, uncorrected, kJ/mol of atoms: 39.3
Offset from the most stable computed form, meV per atom: 169

Cell: 3.185 3.185 6.332 Å, 90.00 90.00 90.00°
Space group P4/mmm (No. 123)
Unique sites:
Al1 0.000 0.000 0.000 x1
Re1 0.500 0.500 0.236 x2
Te1 0.000 0.000 0.500 x1

Density functional theory data (PBE) for a relaxed VFeC2 crystal.

Output
ΔH_f (0 K), eV/f.u.: 0.76
M_tot, μB per cell: 2.05
Calculated volume, Å³/f.u.: 34.6
DFT total energy, eV per formula unit: -35.3

Cell: 2.785 2.785 8.916 Å, 90.00 90.00 90.00°
Space group I4mm (No. 107)
Unique sites:
V1 0.000 0.000 0.000 x2
Fe1 0.000 0.000 0.693 x2
C1 0.000 0.000 0.261 x2
C2 0.000 0.000 0.424 x2

Density functional theory data (PBE) for a relaxed PmTlZn crystal.

Output
ΔH_f (0 K), eV/f.u.: -0.91
M_tot, μB per cell: 0.00
Calculated volume, Å³/f.u.: 78.1
DFT total energy, eV per formula unit: -9.3
Offset from the most stable computed form, meV per atom: 36

Cell: 6.785 6.785 6.785 Å, 90.00 90.00 90.00°
Space group F-43m (No. 216)
Unique sites:
Pm1 0.000 0.000 0.000 x4
Tl1 0.000 0.000 0.500 x4
Zn1 0.250 0.250 0.250 x4

Density functional theory data (PBE) for a relaxed BeZnSi2O6 crystal.

Output
M_tot, μB per cell: 0.00
Calculated volume, Å³/f.u.: 127.2
DFT total energy, eV per formula unit: -70.8
Energy relative to the elements, uncorrected, kJ/mol of atoms: -243.0

Cell: 10.400 10.803 5.239 Å, 90.00 120.22 90.00°
Space group C2/c (No. 15)
Unique sites:
Be1 0.000 0.249 0.250 x4
Zn1 0.000 0.249 0.750 x4
Si1 0.249 0.415 0.723 x8
O1 0.099 0.168 0.145 x8
O2 0.100 0.329 0.554 x8
O3 0.247 0.478 0.005 x8

Density functional theory data (PBE) for a relaxed Ba2TeF2 crystal.

Output
M_tot, μB per cell: 0.00
Calculated volume, Å³/f.u.: 138.8
DFT total energy, eV per formula unit: -25.9
Energy relative to the elements, uncorrected, kJ/mol of atoms: -292.2

Cell: 4.415 4.415 14.239 Å, 90.00 90.00 90.00°
Space group I4/mmm (No. 139)
Unique sites:
Ba1 0.000 0.000 0.143 x4
Te1 0.000 0.000 0.500 x2
F1 0.000 0.500 0.250 x4

Density functional theory data (PBE) for a relaxed Nd4Cd2N crystal.

Output
M_tot, μB per cell: 0.00
Calculated volume, Å³/f.u.: 218.7
DFT total energy, eV per formula unit: -31.0
Energy relative to the elements, uncorrected, kJ/mol of atoms: -24.7
Offset from the most stable computed form, meV per atom: 250

Cell: 5.124 25.116 3.399 Å, 90.00 90.00 90.00°
Space group Cmmm (No. 65)
Unique sites:
Nd1 0.000 0.066 0.000 x4
Nd2 0.000 0.202 0.500 x4
Cd1 0.000 0.343 0.000 x4
N1 0.000 0.000 0.500 x2

Density functional theory data (PBE) for a relaxed InTc2W crystal.

Output
ΔH_f (0 K), eV/f.u.: 3.31
M_tot, μB per cell: 3.03
Calculated volume, Å³/f.u.: 74.8
DFT total energy, eV per formula unit: -33.1

Cell: 7.345 7.345 5.548 Å, 90.00 90.00 90.00°
Space group I-42d (No. 122)
Unique sites:
In1 0.000 0.000 0.000 x4
Tc1 0.200 0.250 0.625 x8
W1 0.000 0.000 0.500 x4

Density functional theory data (PBE) for a relaxed AlW2Se crystal.

Output
M_tot, μB per cell: 0.00
Calculated volume, Å³/f.u.: 65.1
DFT total energy, eV per formula unit: -31.5
Energy relative to the elements, uncorrected, kJ/mol of atoms: 40.2
Offset from the most stable computed form, meV per atom: 295

Cell: 3.292 4.595 8.611 Å, 90.00 90.00 90.00°
Space group Imm2 (No. 44)
Unique sites:
Al1 0.000 0.000 0.000 x2
W1 0.000 0.000 0.505 x2
W2 0.000 0.500 0.250 x2
Se1 0.000 0.500 0.765 x2